Here is a geometry-optimized Y2NiHg structure from the Alexandria database. Energies are from GGA-PBEsol.

Geometry as POSCAR:
```
Y2NiHg
1.0
3.858 0.000 0.000
-1.929 3.341 0.000
0.000 0.000 22.330
Y Ni Hg
6 3 3
Cartesian
0.000 0.000 5.234
0.000 0.000 17.096
0.000 2.227 9.653
0.000 2.227 20.121
1.929 1.114 2.209
1.929 1.114 12.677
0.000 0.000 11.165
0.000 2.227 3.722
1.929 1.114 18.608
0.000 0.000 0.000
0.000 2.227 14.887
1.929 1.114 7.443
```

Values from the calculation:
energy of formation = -346 meV/atom
D(E_F) = 9.63 states/eV/cell
total energy = -5.438 eV/atom